(1)
Below is a geometry-optimized Na3PrAs2O8 structure, with properties calculated at the PBE level.

Summary:
For the polymorph energy (0 for the lowest one), the calculation gives 96 meV per atom. Its uncorrected formation energy is -2526 kJ/mol of formula units. For the density, the calculation gives 3.6 g cm⁻³. Its electronic total energy is -83.884 eV/cell.

Cell and atoms, written as POSCAR:
```
Na3PrAs2O8
1.0
5.958 0.000 0.000
-2.979 5.160 0.000
0.000 0.000 7.228
Na Pr As O
3 1 2 8
Cartesian
0.000 0.000 0.000
0.000 3.440 4.908
2.979 1.720 2.320
0.000 0.000 3.614
0.000 3.440 1.498
2.979 1.720 5.731
0.000 1.847 2.183
-1.379 4.236 2.183
0.000 3.440 7.056
1.600 0.924 5.045
1.379 4.236 2.183
2.979 1.720 0.172
4.359 0.924 5.045
2.979 3.313 5.045
```

(2)
Below is a geometry-optimized La2Pr5Ho2 structure, with properties calculated at the PBE level.

Summary:
For the polymorph energy (0 for the lowest one), the calculation gives 173 meV per atom. For the density, the calculation gives 6.8 g cm⁻³. For the formation energy, the calculation gives 0.190 eV/atom. Its electronic total energy is -82.391 eV/cell.

Cell and atoms, written as POSCAR:
```
La2Pr5Ho2
1.0
-7.594 6.072 3.474
7.594 -6.072 3.474
7.594 6.072 -3.474
La Pr Ho
4 10 4
Cartesian
0.000 0.000 0.000
7.594 0.000 0.000
11.390 -0.041 0.430
3.797 0.041 0.430
2.169 2.812 -0.946
5.425 2.812 -0.946
3.797 -2.815 2.697
-0.820 2.980 1.302
8.413 2.980 1.302
3.797 8.886 -0.777
2.169 3.260 2.528
5.425 3.260 2.528
0.820 9.163 1.302
-0.820 3.092 4.777
1.897 6.020 0.236
5.696 6.020 0.236
1.897 0.051 3.710
5.696 0.051 3.710
```

Look up the electronic total energy of the first one. -83.884 eV/cell